# 1
Crystalline TcSCl3 at its relaxed geometry. Source: the Alexandria database, functional PBE.

Structure (CIF):
```
data_TcSCl3
_chemical_formula_sum 'Tc1 S1 Cl3'
_space_group_name_H-M_alt 'P m -3 m'
_space_group_IT_number 221
_space_group_name_Hall '-P 4 2 3'
_cell_length_a 4.7270
_cell_length_b 4.7270
_cell_length_c 4.7270
_cell_angle_alpha 90.00
_cell_angle_beta 90.00
_cell_angle_gamma 90.00
loop_
_atom_site_label
_atom_site_type_symbol
_atom_site_fract_x
_atom_site_fract_y
_atom_site_fract_z
Tc1 Tc 0.0000 0.0000 0.0000
S1 S 0.5000 0.5000 0.5000
Cl1 Cl 0.0000 0.0000 0.5000
```

Output
uncorrected formation energy	0.395	eV/atom

---

# 2
Crystalline Zr6C3SeN2 at its relaxed geometry. Source: the Alexandria database, functional PBE.

Structure (CIF):
```
data_Zr6C3SeN2
_chemical_formula_sum 'Zr12 C6 Se2 N4'
_space_group_name_H-M_alt 'C 1 2/m 1'
_space_group_IT_number 12
_space_group_name_Hall '-C 2y'
_cell_length_a 14.9568
_cell_length_b 3.3805
_cell_length_c 6.9312
_cell_angle_alpha 90.00
_cell_angle_beta 104.13
_cell_angle_gamma 90.00
loop_
_atom_site_label
_atom_site_type_symbol
_atom_site_fract_x
_atom_site_fract_y
_atom_site_fract_z
Zr1 Zr 0.0026 0.0000 0.2136
Zr2 Zr 0.1677 0.5000 0.0830
Zr3 Zr 0.1806 0.5000 0.5909
C1 C 0.0000 0.5000 0.0000
C2 C 0.1661 0.0000 0.3300
Se1 Se 0.0000 0.5000 0.5000
N1 N 0.1712 0.0000 0.8365
```

Output
uncorrected formation energy	-1.077	eV/atom

---

# 3
Crystalline Sr3Al2 at its relaxed geometry. Source: the Alexandria database, functional PBE.

Structure (CIF):
```
data_Sr3Al2
_chemical_formula_sum 'Sr3 Al2'
_space_group_name_H-M_alt 'P -3 m 1'
_space_group_IT_number 164
_space_group_name_Hall '-P 3 2"'
_cell_length_a 5.5182
_cell_length_b 5.5182
_cell_length_c 6.9355
_cell_angle_alpha 90.00
_cell_angle_beta 90.00
_cell_angle_gamma 120.00
loop_
_atom_site_label
_atom_site_type_symbol
_atom_site_fract_x
_atom_site_fract_y
_atom_site_fract_z
Sr1 Sr 0.0000 0.0000 0.0000
Sr2 Sr 0.3333 0.6667 0.3410
Al1 Al 0.3333 0.6667 0.8589
```

Output
DFT formation energy	-0.043	eV/atom

---

# 4
Crystalline Ba4MgGe4O12 at its relaxed geometry. Source: the Alexandria database, functional PBE.

Structure (CIF):
```
data_Ba4MgGe4O12
_chemical_formula_sum 'Ba4 Mg1 Ge4 O12'
_space_group_name_H-M_alt 'P 1'
_space_group_IT_number 1
_space_group_name_Hall 'P 1'
_cell_length_a 4.8424
_cell_length_b 6.0834
_cell_length_c 13.2318
_cell_angle_alpha 85.88
_cell_angle_beta 89.33
_cell_angle_gamma 87.68
loop_
_atom_site_label
_atom_site_type_symbol
_atom_site_fract_x
_atom_site_fract_y
_atom_site_fract_z
Ba1 Ba 0.0000 0.0000 0.0000
Ba2 Ba 0.0398 0.3687 0.5471
Ba3 Ba 0.5191 0.9106 0.7048
Ba4 Ba 0.5750 0.5448 0.1932
Mg1 Mg 0.5447 0.1827 0.4017
Ge1 Ge 0.0032 0.9190 0.3025
Ge2 Ge 0.4589 0.4969 0.9453
Ge3 Ge 0.4807 0.7032 0.4480
Ge4 Ge 0.9645 0.4312 0.7953
O1 O 0.0173 0.7994 0.1848
O2 O 0.0277 0.6388 0.7005
O3 O 0.0313 0.1563 0.7670
O4 O 0.0879 0.4809 0.9208
O5 O 0.3500 0.9349 0.3486
O6 O 0.3798 0.4771 0.3745
O7 O 0.5087 0.7619 0.9846
O8 O 0.5365 0.2793 0.0353
O9 O 0.5596 0.1703 0.5491
O10 O 0.5924 0.4633 0.8191
O11 O 0.8496 0.7396 0.4009
O12 O 0.8516 0.1860 0.3017
```

Output
uncorrected formation energy	-2.188	eV/atom

---

# 5
Crystalline Ba5LiAl6 at its relaxed geometry. Source: the Alexandria database, functional PBE.

Structure (CIF):
```
data_Ba5LiAl6
_chemical_formula_sum 'Ba10 Li2 Al12'
_space_group_name_H-M_alt 'C 1 2/m 1'
_space_group_IT_number 12
_space_group_name_Hall '-C 2y'
_cell_length_a 7.0823
_cell_length_b 15.5587
_cell_length_c 8.2607
_cell_angle_alpha 90.00
_cell_angle_beta 113.42
_cell_angle_gamma 90.00
loop_
_atom_site_label
_atom_site_type_symbol
_atom_site_fract_x
_atom_site_fract_y
_atom_site_fract_z
Ba1 Ba 0.0000 0.0000 0.0000
Ba2 Ba 0.0000 0.2872 0.0000
Ba3 Ba 0.0000 0.3546 0.5000
Li1 Li 0.0000 0.0000 0.5000
Al1 Al 0.0775 0.1398 0.6793
Al2 Al 0.1361 0.5000 0.1824
```

Output
DFT formation energy	-0.057	eV/atom

---

# 6
Crystalline CaRe2I at its relaxed geometry. Source: the Alexandria database, functional PBE.

Structure (CIF):
```
data_CaRe2I
_chemical_formula_sum 'Ca4 Re8 I4'
_space_group_name_H-M_alt 'F m -3 m'
_space_group_IT_number 225
_space_group_name_Hall '-F 4 2 3'
_cell_length_a 6.6754
_cell_length_b 6.6754
_cell_length_c 6.6754
_cell_angle_alpha 90.00
_cell_angle_beta 90.00
_cell_angle_gamma 90.00
loop_
_atom_site_label
_atom_site_type_symbol
_atom_site_fract_x
_atom_site_fract_y
_atom_site_fract_z
Ca1 Ca 0.0000 0.0000 0.0000
Re1 Re 0.2500 0.2500 0.2500
I1 I 0.0000 0.0000 0.5000
```

Output
uncorrected formation energy	1.504	eV/atom

---

# 7
Crystalline RbUCuS4 at its relaxed geometry. Source: the Alexandria database, functional PBE.

Structure (CIF):
```
data_RbUCuS4
_chemical_formula_sum 'Rb2 U2 Cu2 S8'
_space_group_name_H-M_alt 'P 1 21/m 1'
_space_group_IT_number 11
_space_group_name_Hall '-P 2yb'
_cell_length_a 6.2219
_cell_length_b 6.3282
_cell_length_c 9.1509
_cell_angle_alpha 90.00
_cell_angle_beta 109.36
_cell_angle_gamma 90.00
loop_
_atom_site_label
_atom_site_type_symbol
_atom_site_fract_x
_atom_site_fract_y
_atom_site_fract_z
Rb1 Rb 0.2034 0.2500 0.4534
U1 U 0.3144 0.7500 0.0551
Cu1 Cu 0.1266 0.2500 0.8457
S1 S 0.1160 0.2500 0.0882
S2 S 0.2378 0.7500 0.3133
S3 S 0.3500 0.5169 0.8120
```

Output
uncorrected formation energy	-1.008	eV/atom

---

# 8
Crystalline LiScTa2N4 at its relaxed geometry. Source: the Alexandria database, functional PBE.

Structure (CIF):
```
data_LiScTa2N4
_chemical_formula_sum 'Li1 Sc1 Ta2 N4'
_space_group_name_H-M_alt 'P 1 2/m 1'
_space_group_IT_number 10
_space_group_name_Hall '-P 2y'
_cell_length_a 5.3189
_cell_length_b 3.0980
_cell_length_c 5.4782
_cell_angle_alpha 90.00
_cell_angle_beta 108.74
_cell_angle_gamma 90.00
loop_
_atom_site_label
_atom_site_type_symbol
_atom_site_fract_x
_atom_site_fract_y
_atom_site_fract_z
Li1 Li 0.0000 0.0000 0.0000
Sc1 Sc 0.5000 0.5000 0.0000
Ta1 Ta 0.0000 0.5000 0.5000
Ta2 Ta 0.5000 0.0000 0.5000
N1 N 0.2472 0.0000 0.7417
N2 N 0.2600 0.5000 0.2697
```

Output
uncorrected formation energy	-1.325	eV/atom